AcInCu5: relaxed, PBE.

The structure in POSCAR format:
```
AcInCu5
1.0
8.6435 0.0000 0.0000
0.0000 5.2237 0.0000
0.0000 0.0000 10.7395
Ac In Cu
4 4 20
Cartesian
2.0926 1.3059 0.6513
2.2291 3.9178 6.0211
6.4143 1.3059 4.7184
6.5509 3.9178 10.0882
1.2253 3.9178 9.2725
3.0964 1.3059 3.9028
5.5471 3.9178 6.8367
7.4182 1.3059 1.4670
0.4916 3.9178 1.2109
0.5707 2.6207 3.3647
0.5707 5.2148 3.3647
0.6930 1.3059 5.5215
1.5702 1.3059 7.9941
2.7516 3.9178 2.6244
3.6287 3.9178 0.1517
3.7510 0.0089 8.7345
3.7510 2.6030 8.7345
3.8301 1.3059 6.5806
4.8134 3.9178 4.1589
4.8924 2.6207 2.0050
4.8924 5.2148 2.0050
5.0148 1.3059 10.5878
5.8919 1.3059 8.1151
7.0733 3.9178 2.7454
7.9505 3.9178 5.2180
8.0728 0.0089 7.3748
8.0728 2.6030 7.3748
8.1519 1.3059 9.5286
```

## Properties
energy of formation from the pure elements	-176	meV/atom
E	-4.080	eV/atom
space-group type	Pnma (62)